# 1
Density functional theory data (GGA-PBE) for a relaxed structure of GeIrPd.

Cell lengths 5.451, 5.451, 5.451 Å; angles 148.12, 148.12, 45.71 degrees
Atoms (fractional coordinates):
Ge 0.000 0.000 0.000
Ir 0.361 0.361 0.000
Pd 0.656 0.656 0.000

Calculated values
Density, g/cm³: 13.7
Size of the total moment, μB per cell: 0.00
Calculated volume, A^3/atom: 15.01
Energy of formation from the pure elements, eV per atom: -0.14
Fermi-level density of states, states/eV/atom: 0.45
VASP energy, eV per atom: -6.363


# 2
Density functional theory data (GGA-PBE) for a relaxed structure of BaScSn.

Cell lengths 5.007, 5.007, 8.241 Å; angles 90.00, 90.00, 90.00 degrees
Atoms (fractional coordinates):
Ba 0.250 0.250 0.155
Ba 0.750 0.750 0.845
Sc 0.250 0.750 0.500
Sc 0.750 0.250 0.500
Sn 0.250 0.250 0.701
Sn 0.750 0.750 0.299

Calculated values
Density, g/cm³: 4.8
Size of the total moment, μB per cell: 1.49
Calculated volume, A^3/atom: 34.43
Energy of formation from the pure elements, eV per atom: -0.57
Fermi-level density of states, states/eV/atom: 0.90
VASP energy, eV per atom: -4.657


# 3
Density functional theory data (GGA-PBE) for a relaxed structure of BaInSeBr2.

Cell lengths 5.646, 5.646, 5.496 Å; angles 90.00, 90.00, 90.00 degrees
Atoms (fractional coordinates):
Ba 0.000 0.000 0.000
In 0.500 0.500 0.500
Se 0.500 0.500 0.000
Br 0.000 0.500 0.500
Br 0.500 0.000 0.500

Calculated values
Density, g/cm³: 4.7
Size of the total moment, μB per cell: 0.00
Calculated volume, A^3/atom: 35.04
Energy relative to the elements, uncorrected, eV/f.u.: -5.76
Fermi-level density of states, states/eV/atom: 0.14
VASP energy, eV per atom: -3.450


# 4
Density functional theory data (GGA-PBE) for a relaxed structure of NaSrZn3.

Cell lengths 6.023, 6.023, 6.023 Å; angles 90.00, 90.00, 90.00 degrees
Atoms (fractional coordinates):
Na 0.000 0.000 0.000
Sr 0.500 0.500 0.500
Zn 0.000 0.500 0.500
Zn 0.500 0.000 0.500
Zn 0.500 0.500 0.000

Calculated values
Density, g/cm³: 2.3
Size of the total moment, μB per cell: 0.00
Calculated volume, A^3/atom: 43.69
Energy of formation from the pure elements, eV per atom: 0.57
Fermi-level density of states, states/eV/atom: 0.72
VASP energy, eV per atom: -0.793